Entry 1:
The following is a DFT calculation (PBEsol) of an optimized crystal structure of Mg2MnTcOs.

Properties
The total magnetic moment is 5.388 Bohr magnetons per cell. The space-group type is P4/mmm, No. 123. The formation enthalpy at 0 K comes out at 1.281 eV per atom.

Structure (POSCAR):
```
Mg2MnTcOs
1.0
4.860 0.000 0.000
0.000 4.860 0.000
0.000 0.000 4.608
Mg Mn Tc Os
2 1 1 1
Direct
0.000 0.500 0.000
0.500 0.000 0.000
0.000 0.000 0.500
0.500 0.500 0.500
0.500 0.500 0.000
```



Entry 2:
The following is a DFT calculation (PBEsol) of an optimized crystal structure of TaAsPb2W.

Properties
The total magnetic moment is 0.000 Bohr magnetons per cell. The space-group type is P4/mmm, No. 123. The formation enthalpy at 0 K comes out at 1.285 eV per atom.

Structure (POSCAR):
```
TaAsPb2W
1.0
5.257 0.000 0.000
0.000 5.257 0.000
0.000 0.000 4.825
Ta As Pb W
1 1 2 1
Direct
0.000 0.000 0.000
0.500 0.500 0.000
0.000 0.500 0.500
0.500 0.000 0.500
0.000 0.000 0.500
```



Entry 3:
The following is a DFT calculation (PBEsol) of an optimized crystal structure of Sb2TeOs.

Properties
The total magnetic moment is 0.000 Bohr magnetons per cell. Its uncorrected formation energy is 0.65 eV per atom. The space-group type is I4/mmm, No. 139.

Structure (POSCAR):
```
Sb2TeOs
1.0
-2.845 2.845 2.845
2.845 -2.845 2.845
2.845 2.845 -2.845
Sb Te Os
2 1 1
Direct
0.000 0.500 0.500
0.500 0.000 0.500
0.000 0.000 0.000
0.500 0.500 0.000
```



Entry 4:
The following is a DFT calculation (PBEsol) of an optimized crystal structure of LiZr2FeTe.

Properties
The total magnetic moment is 0.001 Bohr magnetons per cell. Its uncorrected formation energy is 0.05 eV per atom. The space-group type is P4/mmm, No. 123.

Structure (POSCAR):
```
LiZr2FeTe
1.0
4.648 0.000 0.000
0.000 4.648 0.000
0.000 0.000 4.643
Li Zr Fe Te
1 2 1 1
Direct
0.000 0.000 0.000
0.000 0.500 0.500
0.500 0.000 0.500
0.000 0.000 0.500
0.500 0.500 0.000
```



Entry 5:
The following is a DFT calculation (PBEsol) of an optimized crystal structure of RuPt.

Properties
The total magnetic moment is 0.000 Bohr magnetons per cell. The space-group type is I4_1/amd, No. 141. The formation enthalpy at 0 K comes out at 0.015 eV per atom.

Structure (POSCAR):
```
RuPt
1.0
-1.911 1.911 3.853
1.911 -1.911 3.853
1.911 1.911 -3.853
Ru Pt
2 2
Direct
0.375 0.625 0.750
0.625 0.375 0.250
0.125 0.875 0.250
0.875 0.125 0.750
```



Entry 6:
The following is a DFT calculation (PBEsol) of an optimized crystal structure of CoMo2As.

Properties
The total magnetic moment is 0.387 Bohr magnetons per cell. The space-group type is R-3m, No. 166. The formation enthalpy at 0 K comes out at 0.268 eV per atom.

Structure (POSCAR):
```
CoMo2As
1.0
1.394 0.805 8.340
-1.394 0.805 8.340
0.000 -1.610 8.340
Co Mo As
1 2 1
Direct
0.000 0.000 0.000
0.253 0.253 0.253
0.747 0.747 0.747
0.500 0.500 0.500
```



Entry 7:
The following is a DFT calculation (PBEsol) of an optimized crystal structure of CdAu.

Properties
The total magnetic moment is 0.000 Bohr magnetons per cell. The space-group type is P4/nmm, No. 129. The formation enthalpy at 0 K comes out at -0.111 eV per atom.

Structure (POSCAR):
```
CdAu
1.0
3.553 0.000 0.000
0.000 3.553 0.000
0.000 0.000 5.860
Cd Au
2 2
Direct
0.250 0.250 0.140
0.750 0.750 0.860
0.250 0.250 0.632
0.750 0.750 0.368
```



Entry 8:
The following is a DFT calculation (PBEsol) of an optimized crystal structure of SrZn2Ag.

Properties
The total magnetic moment is 0.000 Bohr magnetons per cell. The space-group type is R-3m, No. 166. The formation enthalpy at 0 K comes out at -0.189 eV per atom.

Structure (POSCAR):
```
SrZn2Ag
1.0
2.221 1.282 5.324
-2.221 1.282 5.324
0.000 -2.565 5.324
Sr Zn Ag
1 2 1
Direct
0.000 0.000 0.000
0.198 0.198 0.198
0.802 0.802 0.802
0.500 0.500 0.500
```



Entry 9:
The following is a DFT calculation (PBEsol) of an optimized crystal structure of Ba4Pt.

Properties
The total magnetic moment is 0.000 Bohr magnetons per cell. The space-group type is I4/m, No. 87. The formation enthalpy at 0 K comes out at -0.262 eV per atom.

Structure (POSCAR):
```
Ba4Pt
1.0
-5.314 5.314 1.978
5.314 -5.314 1.978
5.314 5.314 -1.978
Ba Pt
4 1
Direct
0.057 0.760 0.817
0.240 0.057 0.298
0.760 0.943 0.702
0.943 0.240 0.183
0.500 0.500 0.000
```



Entry 10:
The following is a DFT calculation (PBEsol) of an optimized crystal structure of MnRe3.

Properties
The total magnetic moment is 0.002 Bohr magnetons per cell. The space-group type is Pmmn, No. 59. The formation enthalpy at 0 K comes out at 0.046 eV per atom.

Structure (POSCAR):
```
MnRe3
1.0
4.352 0.000 0.000
0.000 5.383 0.000
0.000 0.000 4.658
Mn Re
2 6
Direct
0.250 0.250 0.172
0.750 0.750 0.828
0.250 0.001 0.669
0.250 0.499 0.669
0.250 0.750 0.159
0.750 0.250 0.841
0.750 0.501 0.331
0.750 0.999 0.331
```